Entry 1:
# Cs2InAuF6 GGA-PBE optimized geometry
data_Cs2InAuF6
_chemical_formula_sum 'Cs2 In1 Au1 F6'
_cell_length_a 6.589
_cell_length_b 6.589
_cell_length_c 6.589
_cell_angle_alpha 114.87
_cell_angle_beta 114.87
_cell_angle_gamma 99.14
_space_group_name_H-M_alt 'P 1'
_space_group_IT_number 1
loop_
_space_group_symop_operation_xyz
'x,y,z'
loop_
_atom_site_label
_atom_site_fract_x
_atom_site_fract_y
_atom_site_fract_z
Cs1 0.250 0.750 0.500
Cs2 0.750 0.250 0.500
In1 0.000 0.000 0.000
Au1 0.500 0.500 0.000
F1 0.207 0.207 0.413
F2 0.207 0.793 0.000
F3 0.257 0.257 0.000
F4 0.743 0.743 0.000
F5 0.793 0.207 0.000
F6 0.793 0.793 0.587
# Energy relative to the elements, uncorrected ... -2.244 eV per atom
# E ... -41.389 eV for the cell shown

***

Entry 2:
# BaPmHg2 GGA-PBE optimized geometry
data_BaPmHg2
_chemical_formula_sum 'Ba1 Pm1 Hg2'
_cell_length_a 9.540
_cell_length_b 9.540
_cell_length_c 9.540
_cell_angle_alpha 25.57
_cell_angle_beta 25.57
_cell_angle_gamma 25.57
_space_group_name_H-M_alt 'P 1'
_space_group_IT_number 1
loop_
_space_group_symop_operation_xyz
'x,y,z'
loop_
_atom_site_label
_atom_site_fract_x
_atom_site_fract_y
_atom_site_fract_z
Ba1 0.000 0.000 0.000
Pm1 0.834 0.834 0.834
Hg1 0.241 0.241 0.241
Hg2 0.426 0.426 0.426
# E ... -8.544 eV for the cell shown
# Formation energy ... -0.317 eV per atom

***

Entry 3:
# GeIO2F GGA-PBE optimized geometry
data_GeIO2F
_chemical_formula_sum 'Ge1 I1 O2 F1'
_cell_length_a 4.039
_cell_length_b 4.039
_cell_length_c 5.711
_cell_angle_alpha 90.00
_cell_angle_beta 90.00
_cell_angle_gamma 90.00
_space_group_name_H-M_alt 'P 1'
_space_group_IT_number 1
loop_
_space_group_symop_operation_xyz
'x,y,z'
loop_
_atom_site_label
_atom_site_fract_x
_atom_site_fract_y
_atom_site_fract_z
Ge1 0.000 0.000 0.000
I1 0.500 0.500 0.500
O1 0.000 0.500 0.500
O2 0.500 0.000 0.500
F1 0.500 0.500 0.000
# Energy relative to the elements, uncorrected ... -0.062 eV per atom
# E ... -18.265 eV for the cell shown

***

Entry 4:
# Sm12Cu6Ir GGA-PBE optimized geometry
data_Sm12Cu6Ir
_chemical_formula_sum 'Sm12 Cu6 Ir1'
_cell_length_a 8.290
_cell_length_b 8.290
_cell_length_c 8.290
_cell_angle_alpha 97.94
_cell_angle_beta 97.94
_cell_angle_gamma 97.94
_space_group_name_H-M_alt 'P 1'
_space_group_IT_number 1
loop_
_space_group_symop_operation_xyz
'x,y,z'
loop_
_atom_site_label
_atom_site_fract_x
_atom_site_fract_y
_atom_site_fract_z
Sm1 0.039 0.678 0.912
Sm2 0.088 0.961 0.322
Sm3 0.190 0.416 0.566
Sm4 0.322 0.088 0.961
Sm5 0.416 0.566 0.190
Sm6 0.434 0.810 0.584
Sm7 0.566 0.190 0.416
Sm8 0.584 0.434 0.810
Sm9 0.678 0.912 0.039
Sm10 0.810 0.584 0.434
Sm11 0.912 0.039 0.678
Sm12 0.961 0.322 0.088
Cu1 0.129 0.625 0.311
Cu2 0.311 0.129 0.625
Cu3 0.375 0.689 0.871
Cu4 0.625 0.311 0.129
Cu5 0.689 0.871 0.375
Cu6 0.871 0.375 0.689
Ir1 0.000 0.000 0.000
# E ... -90.586 eV for the cell shown
# Formation energy ... -0.027 eV per atom

***

What is the E in the third record?
-18.265 eV for the cell shown

***

The highest E belongs to which entry?
BaPmHg2

***

E of number 1 (Cs2InAuF6)?
-41.389 eV for the cell shown

***

Please write out number 1 again, unchanged.
# Cs2InAuF6 GGA-PBE optimized geometry
data_Cs2InAuF6
_chemical_formula_sum 'Cs2 In1 Au1 F6'
_cell_length_a 6.589
_cell_length_b 6.589
_cell_length_c 6.589
_cell_angle_alpha 114.87
_cell_angle_beta 114.87
_cell_angle_gamma 99.14
_space_group_name_H-M_alt 'P 1'
_space_group_IT_number 1
loop_
_space_group_symop_operation_xyz
'x,y,z'
loop_
_atom_site_label
_atom_site_fract_x
_atom_site_fract_y
_atom_site_fract_z
Cs1 0.250 0.750 0.500
Cs2 0.750 0.250 0.500
In1 0.000 0.000 0.000
Au1 0.500 0.500 0.000
F1 0.207 0.207 0.413
F2 0.207 0.793 0.000
F3 0.257 0.257 0.000
F4 0.743 0.743 0.000
F5 0.793 0.207 0.000
F6 0.793 0.793 0.587
# Energy relative to the elements, uncorrected ... -2.244 eV per atom
# E ... -41.389 eV for the cell shown